# 1
A relaxed structure of HfCuPb2. Source: Alexandria, functional PBE.

```
HfCuPb2
1.0
-2.229 3.459 1.689
-1.743 0.834 -4.007
-9.719 -3.869 0.954
Pb Hf Cu
4 2 2
direct
0.617 0.125 0.250
0.133 0.625 0.250
0.375 0.383 0.750
0.875 0.867 0.750
0.000 0.000 0.000
0.750 0.250 0.500
0.500 0.500 0.000
0.250 0.750 0.500
```

Properties
E_form: 0.47 eV per atom
Energy relative to the lowest polymorph listed for this composition: 41.0 meV per atom
VASP energy: -4.90 eV/atom

# 2
A relaxed structure of HfCuPb2. Source: Alexandria, functional PBE.

```
HfCuPb2
1.0
3.307 0.000 0.000
1.654 2.864 0.000
1.654 0.955 10.291
Pb Hf Cu
2 1 1
direct
0.097 0.097 0.708
0.903 0.903 0.292
0.000 0.000 0.000
0.500 0.500 0.500
```

Properties
E_form: 0.43 eV per atom
Energy relative to the lowest polymorph listed for this composition: 0.0 meV per atom
VASP energy: -4.94 eV/atom

# 3
A relaxed structure of HfCu2Pb2. Source: Alexandria, functional PBE.

```
HfCu2Pb2
1.0
7.376 0.000 0.000
0.000 7.376 0.000
0.000 0.000 3.711
Pb Hf Cu
4 2 4
direct
0.180 0.680 0.500
0.680 0.820 0.500
0.820 0.320 0.500
0.320 0.180 0.500
0.000 0.000 0.000
0.500 0.500 0.000
0.380 0.880 0.000
0.880 0.620 0.000
0.620 0.120 0.000
0.120 0.380 0.000
```

Properties
E_form: 0.19 eV per atom
VASP energy: -4.92 eV/atom

# 4
A relaxed structure of HfCuPb3. Source: Alexandria, functional PBE.

```
HfCuPb3
1.0
5.189 0.000 0.000
0.000 5.189 0.000
0.000 0.000 5.189
Pb Hf Cu
3 1 1
direct
0.000 0.500 0.000
0.000 0.000 0.500
0.500 0.000 0.000
0.500 0.500 0.500
0.000 0.000 0.000
```

Properties
E_form: 0.66 eV per atom
Energy relative to the lowest polymorph listed for this composition: 0.0 meV per atom
VASP energy: -4.38 eV/atom